# 1
PBE SmDyAg6, optimized geometry; energy of formation = -0.1999 eV per atom; size of the total moment = 0.00 μB per formula unit; symmetry = C2/m
1.0
4.412 0.000 1.204
2.099 4.628 0.995
0.114 -0.491 8.266
Sm Dy Ag
1 1 6
Direct
0.000 0.500 0.500 Sm
0.000 0.000 0.000 Dy
0.249 0.871 0.630 Ag
0.503 0.243 0.752 Ag
0.252 0.375 0.121 Ag
0.497 0.757 0.248 Ag
0.751 0.129 0.370 Ag
0.748 0.625 0.879 Ag

# 2
PBE SrGa2As2, optimized geometry; energy of formation = -0.2803 eV per atom; size of the total moment = 0.00 μB per formula unit; symmetry = P4/mbm
1.0
7.834 0.000 0.000
0.000 7.834 0.000
0.000 0.000 3.627
Sr As Ga
2 4 4
Direct
0.000 0.000 0.000 Sr
0.500 0.500 0.000 Sr
0.171 0.671 0.500 As
0.671 0.829 0.500 As
0.829 0.329 0.500 As
0.329 0.171 0.500 As
0.382 0.882 0.000 Ga
0.882 0.618 0.000 Ga
0.618 0.118 0.000 Ga
0.118 0.382 0.000 Ga

# 3
PBE Sn2PdCl, optimized geometry; size of the total moment = 0.00 μB per formula unit; symmetry = I-42d; relative energy among the computed polymorphs = 0.00 kcal/mol of atoms
1.0
-0.245 -3.895 4.675
5.803 -1.558 -0.994
4.861 2.292 6.129
Sn Pd Cl
4 2 2
Direct
0.686 0.125 0.250 Sn
0.064 0.625 0.250 Sn
0.375 0.314 0.750 Sn
0.875 0.936 0.750 Sn
0.000 0.000 0.000 Pd
0.750 0.250 0.500 Pd
0.500 0.500 0.000 Cl
0.250 0.750 0.500 Cl

# 4
PBE KLaZrF2, optimized geometry; size of the total moment = 2.78 μB per formula unit; symmetry = P4/mmm; relative energy among the computed polymorphs = 3.99 kcal/mol of atoms
1.0
-1.494 -4.127 -1.747
2.207 1.433 -5.275
4.118 -1.991 1.182
K F Zr La
1 2 1 1
Direct
0.000 0.000 0.000 K
0.000 0.000 0.500 F
0.500 0.000 0.000 F
0.000 0.500 0.000 Zr
0.500 0.500 0.500 La

Question: Which value of size of the total moment does entry 4 give?
Answer: 2.78 μB per formula unit

Question: What is the size of the total moment in the fourth record?
Answer: 2.78 μB per formula unit